a | Tm4SnSe2 | PBE | optimized geometry

Cell and atoms, written as extended XYZ:
```
14
Lattice="7.3197 0.0000 0.0000 0.0000 11.6037 0.0000 0.0000 0.0000 4.4180" Properties=species:S:1:pos:R:3 pbc="T T T"
Tm 1.7321 0.0000 0.0000
Tm 1.8299 2.9009 2.2090
Tm 1.8299 8.7027 2.2090
Tm 1.9277 5.8018 0.0000
Tm 5.3920 5.8018 0.0000
Tm 5.4898 2.9009 2.2090
Tm 5.4898 8.7027 2.2090
Tm 5.5876 0.0000 0.0000
Sn 0.0000 5.8018 2.2090
Sn 3.6599 0.0000 2.2090
Se 0.0000 2.1745 0.0000
Se 0.0000 9.4291 0.0000
Se 3.6599 3.6273 0.0000
Se 3.6599 7.9764 0.0000
```

Values from the calculation:
- Magnetic moment: 0.000 μB/atom
- SG: No. 65

***

b | Tm4SnSe2 | PBE | optimized geometry

Cell and atoms, written as extended XYZ:
```
14
Lattice="2.0719 -6.4562 0.0000 2.0719 6.4562 0.0000 0.0000 0.0000 13.4853" Properties=species:S:1:pos:R:3 pbc="T T T"
Tm 0.0000 0.0000 0.0000
Tm 0.0000 0.0000 6.7427
Tm 2.0719 2.9748 8.4328
Tm 2.0719 2.9748 11.7952
Tm 2.0719 0.8315 3.3713
Tm 2.0719 -0.8315 10.1140
Tm 2.0719 -2.9748 1.6901
Tm 2.0719 -2.9748 5.0526
Sn 2.0719 5.0851 3.3713
Sn 2.0719 -5.0851 10.1140
Se 2.0719 1.7552 0.7785
Se 2.0719 1.7552 5.9642
Se 2.0719 -1.7552 7.5212
Se 2.0719 -1.7552 12.7068
```

Values from the calculation:
- Magnetic moment: 0.000 μB/atom
- SG: No. 63

***

Which structure is the most stable? The one labeled b.